(1)
# KBeOs2

Crystalline KBeOs2 at its relaxed geometry (PBE, the Alexandria database).

a = 4.659 Å, b = 4.659 Å, c = 16.567 Å
α = 90.00°, β = 90.00°, γ = 90.00°
Space group I-42d (No. 122)
Inequivalent atoms, fractional coordinates:
K 0.000 0.000 0.000 [4 per cell]
Be 0.000 0.000 0.500 [4 per cell]
Os 0.053 0.750 0.625 [8 per cell]

Output
Energy of formation, meV per atom: 1326.6

***

(2)
# Hf2ScTeI

Crystalline Hf2ScTeI at its relaxed geometry (PBE, the Alexandria database).

a = 5.266 Å, b = 5.266 Å, c = 6.064 Å
α = 90.00°, β = 90.00°, γ = 90.00°
Space group P4/mmm (No. 123)
Inequivalent atoms, fractional coordinates:
Hf 0.000 0.500 0.000 [2 per cell]
Sc 0.000 0.000 0.500 [1 per cell]
Te 0.500 0.500 0.000 [1 per cell]
I 0.500 0.500 0.500 [1 per cell]

Output
Formation energy (no corrections), meV/atom: 978

***

(3)
# MgSiWSe2

Crystalline MgSiWSe2 at its relaxed geometry (PBE, the Alexandria database).

a = 4.831 Å, b = 4.831 Å, c = 5.414 Å
α = 90.00°, β = 90.00°, γ = 90.00°
Space group P4/mmm (No. 123)
Inequivalent atoms, fractional coordinates:
Mg 0.000 0.000 0.000 [1 per cell]
Si 0.500 0.500 0.000 [1 per cell]
W 0.000 0.000 0.500 [1 per cell]
Se 0.000 0.500 0.500 [2 per cell]

Output
Formation energy (no corrections), meV/atom: 742

***

(4)
# Ac2LaSm5

Crystalline Ac2LaSm5 at its relaxed geometry (PBE, the Alexandria database).

a = 3.690 Å, b = 11.627 Å, c = 13.871 Å
α = 90.00°, β = 90.00°, γ = 90.00°
Space group Immm (No. 71)
Inequivalent atoms, fractional coordinates:
Ac 0.000 0.000 0.243 [4 per cell]
La 0.000 0.500 0.500 [2 per cell]
Sm 0.000 0.000 0.500 [2 per cell]
Sm 0.000 0.269 0.127 [8 per cell]

Output
Energy of formation, meV per atom: 82.1

***

(5)
# HfSbSe4

Crystalline HfSbSe4 at its relaxed geometry (PBE, the Alexandria database).

a = 15.115 Å, b = 3.807 Å, c = 6.821 Å
α = 90.00°, β = 116.25°, γ = 90.00°
Space group C2/m (No. 12)
Inequivalent atoms, fractional coordinates:
Hf 0.000 0.000 0.000 [2 per cell]
Sb 0.000 0.500 0.500 [2 per cell]
Se 0.115 0.500 0.952 [4 per cell]
Se 0.118 0.000 0.434 [4 per cell]

Output
Formation energy (no corrections), meV/atom: -742
ΔE to the lowest computed polymorph, meV/atom: 0.0

***

(6)
# ThTc3

Crystalline ThTc3 at its relaxed geometry (PBE, the Alexandria database).

a = 6.604 Å, b = 6.604 Å, c = 6.604 Å
α = 90.00°, β = 90.00°, γ = 90.00°
Space group Fm-3m (No. 225)
Inequivalent atoms, fractional coordinates:
Th 0.000 0.000 0.000 [4 per cell]
Tc 0.000 0.000 0.500 [4 per cell]
Tc 0.250 0.250 0.250 [8 per cell]

Output
Energy of formation, meV per atom: 272.2

***

(7)
# Li6Sn5Pb

Crystalline Li6Sn5Pb at its relaxed geometry (PBE, the Alexandria database).

a = 4.903 Å, b = 6.901 Å, c = 7.743 Å
α = 90.00°, β = 108.39°, γ = 90.00°
Space group P2/m (No. 10)
Inequivalent atoms, fractional coordinates:
Li 0.000 0.244 0.000 [2 per cell]
Li 0.331 0.247 0.662 [4 per cell]
Sn 0.166 0.000 0.333 [2 per cell]
Sn 0.168 0.500 0.335 [2 per cell]
Sn 0.500 0.000 0.000 [1 per cell]
Pb 0.500 0.500 0.000 [1 per cell]

Output
Energy of formation, meV per atom: -309.9
ΔE to the lowest computed polymorph, meV/atom: 0.0

***

(8)
# GeSF3

Crystalline GeSF3 at its relaxed geometry (PBE, the Alexandria database).

a = 4.973 Å, b = 6.108 Å, c = 7.306 Å
α = 90.02°, β = 96.86°, γ = 90.00°
Space group P1 (No. 1)
Inequivalent atoms, fractional coordinates:
Ge 0.000 0.000 0.000 [1 per cell]
Ge 0.226 0.501 0.492 [1 per cell]
S 0.382 0.170 0.495 [1 per cell]
S 0.843 0.670 0.997 [1 per cell]
F 0.272 0.663 0.300 [1 per cell]
F 0.347 0.027 0.994 [1 per cell]
F 0.371 0.656 0.678 [1 per cell]
F 0.855 0.155 0.814 [1 per cell]
F 0.879 0.529 0.498 [1 per cell]
F 0.954 0.163 0.192 [1 per cell]

Output
Formation energy (no corrections), meV/atom: -1539
ΔE to the lowest computed polymorph, meV/atom: 0.0

***

(9)
# Rb2PaTl3Se6

Crystalline Rb2PaTl3Se6 at its relaxed geometry (PBE, the Alexandria database).

a = 8.040 Å, b = 15.256 Å, c = 7.508 Å
α = 90.00°, β = 116.56°, γ = 90.00°
Space group C2/m (No. 12)
Inequivalent atoms, fractional coordinates:
Rb 0.000 0.176 0.000 [4 per cell]
Pa 0.000 0.500 0.000 [2 per cell]
Tl 0.000 0.000 0.500 [2 per cell]
Tl 0.000 0.357 0.500 [4 per cell]
Se 0.213 0.500 0.791 [4 per cell]
Se 0.235 0.369 0.252 [8 per cell]

Output
Formation energy (no corrections), meV/atom: -849

***

(10)
# K2Cd5Au

Crystalline K2Cd5Au at its relaxed geometry (PBE, the Alexandria database).

a = 6.346 Å, b = 6.346 Å, c = 12.938 Å
α = 90.00°, β = 90.00°, γ = 90.00°
Space group I4mm (No. 107)
Inequivalent atoms, fractional coordinates:
K 0.000 0.500 0.000 [4 per cell]
Cd 0.000 0.000 0.111 [2 per cell]
Cd 0.249 0.249 0.758 [8 per cell]
Au 0.000 0.000 0.895 [2 per cell]

Output
Energy of formation, meV per atom: -111.1

***

(11)
# NdGeI5

Crystalline NdGeI5 at its relaxed geometry (PBE, the Alexandria database).

a = 9.102 Å, b = 4.467 Å, c = 15.338 Å
α = 90.00°, β = 95.79°, γ = 90.00°
Space group P2_1/m (No. 11)
Inequivalent atoms, fractional coordinates:
Nd 0.105 0.250 0.150 [2 per cell]
Ge 0.390 0.750 0.387 [2 per cell]
I 0.105 0.250 0.790 [2 per cell]
I 0.163 0.250 0.372 [2 per cell]
I 0.185 0.750 0.011 [2 per cell]
I 0.369 0.750 0.569 [2 per cell]
I 0.437 0.250 0.192 [2 per cell]

Output
Formation energy (no corrections), meV/atom: -890

***

(12)
# KC2O4

Crystalline KC2O4 at its relaxed geometry (PBE, the Alexandria database).

a = 4.648 Å, b = 4.782 Å, c = 4.963 Å
α = 100.83°, β = 90.33°, γ = 107.22°
Space group P-1 (No. 2)
Inequivalent atoms, fractional coordinates:
K 0.000 0.000 0.000 [1 per cell]
C 0.471 0.667 0.425 [2 per cell]
O 0.271 0.410 0.500 [2 per cell]
O 0.439 0.792 0.235 [2 per cell]

Output
Formation energy (no corrections), meV/atom: -1009
ΔE to the lowest computed polymorph, meV/atom: 0.0

***

(13)
# SrCe2HoN4

Crystalline SrCe2HoN4 at its relaxed geometry (PBE, the Alexandria database).

a = 7.166 Å, b = 7.169 Å, c = 10.167 Å
α = 90.00°, β = 90.00°, γ = 90.00°
Space group Imma (No. 74)
Inequivalent atoms, fractional coordinates:
Sr 0.250 0.250 0.250 [4 per cell]
Ce 0.000 0.000 0.000 [4 per cell]
Ce 0.250 0.250 0.750 [4 per cell]
Ho 0.000 0.000 0.500 [4 per cell]
N 0.000 0.026 0.752 [8 per cell]
N 0.247 0.250 0.509 [8 per cell]

Output
Formation energy (no corrections), meV/atom: -1351

***

(14)
# NdEr4Sc4

Crystalline NdEr4Sc4 at its relaxed geometry (PBE, the Alexandria database).

a = 6.759 Å, b = 6.759 Å, c = 11.767 Å
α = 90.00°, β = 90.00°, γ = 90.00°
Space group P4_2/nmc (No. 137, origin choice 2)
Inequivalent atoms, fractional coordinates:
Nd 0.250 0.750 0.250 [2 per cell]
Er 0.009 0.250 0.024 [8 per cell]
Sc 0.031 0.250 0.307 [8 per cell]

Output
Energy of formation, meV per atom: 269.3
ΔE to the lowest computed polymorph, meV/atom: 213.8

***

(15)
# Pr4N2O

Crystalline Pr4N2O at its relaxed geometry (PBE, the Alexandria database).

a = 13.820 Å, b = 3.585 Å, c = 6.320 Å
α = 90.00°, β = 115.83°, γ = 90.00°
Space group C2/m (No. 12)
Inequivalent atoms, fractional coordinates:
Pr 0.132 0.000 0.294 [4 per cell]
Pr 0.135 0.500 0.815 [4 per cell]
N 0.246 0.000 0.737 [4 per cell]
O 0.000 0.500 0.000 [2 per cell]

Output
Formation energy (no corrections), meV/atom: -1492
ΔE to the lowest computed polymorph, meV/atom: 49.6

***

(16)
# CrPtIBr2

Crystalline CrPtIBr2 at its relaxed geometry (PBE, the Alexandria database).

a = 5.889 Å, b = 5.889 Å, c = 5.233 Å
α = 90.00°, β = 90.00°, γ = 90.00°
Space group P4/mmm (No. 123)
Inequivalent atoms, fractional coordinates:
Cr 0.000 0.000 0.000 [1 per cell]
Pt 0.500 0.500 0.000 [1 per cell]
I 0.000 0.000 0.500 [1 per cell]
Br 0.000 0.500 0.500 [2 per cell]

Output
Formation energy (no corrections), meV/atom: 1281

***

(17)
# SmInCuHg

Crystalline SmInCuHg at its relaxed geometry (PBE, the Alexandria database).

a = 7.079 Å, b = 7.079 Å, c = 7.079 Å
α = 90.00°, β = 90.00°, γ = 90.00°
Space group F-43m (No. 216)
Inequivalent atoms, fractional coordinates:
Sm 0.000 0.000 0.000 [4 per cell]
In 0.000 0.000 0.500 [4 per cell]
Cu 0.250 0.250 0.250 [4 per cell]
Hg 0.250 0.250 0.750 [4 per cell]

Output
Energy of formation, meV per atom: -291.0

***

(18)
# Pr2EuSb

Crystalline Pr2EuSb at its relaxed geometry (PBE, the Alexandria database).

a = 5.028 Å, b = 5.028 Å, c = 4.909 Å
α = 90.00°, β = 90.00°, γ = 90.00°
Space group P4/mmm (No. 123)
Inequivalent atoms, fractional coordinates:
Pr 0.000 0.500 0.000 [2 per cell]
Eu 0.000 0.000 0.500 [1 per cell]
Sb 0.500 0.500 0.500 [1 per cell]

Output
Formation energy (no corrections), meV/atom: -526
ΔE to the lowest computed polymorph, meV/atom: 0.0

***

(19)
# K2Cd15In2

Crystalline K2Cd15In2 at its relaxed geometry (PBE, the Alexandria database).

a = 10.5297 Å, b = 10.5297 Å, c = 15.0998 Å
α = 90.00°, β = 90.00°, γ = 120.00°
Space group R-3m (No. 166, hexagonal axes)
Inequivalent atoms, fractional coordinates:
K 0.0000 0.0000 0.1600 [6 per cell]
Cd 0.0000 0.3027 0.5000 [18 per cell]
Cd 0.0000 0.5000 0.0000 [9 per cell]
Cd 0.0118 0.5059 0.6502 [18 per cell]
In 0.0000 0.0000 0.3987 [6 per cell]

Output
Energy of formation, meV per atom: -59.7

***

(20)
# CaIrOs2

Crystalline CaIrOs2 at its relaxed geometry (PBE, the Alexandria database).

a = 2.791 Å, b = 4.594 Å, c = 10.527 Å
α = 90.00°, β = 90.00°, γ = 90.00°
Space group Immm (No. 71)
Inequivalent atoms, fractional coordinates:
Ca 0.000 0.000 0.000 [2 per cell]
Ir 0.000 0.000 0.500 [2 per cell]
Os 0.000 0.500 0.216 [4 per cell]

Output
Energy of formation, meV per atom: 295.5
ΔE to the lowest computed polymorph, meV/atom: 76.6